{
  "formula": "SrSmMgAg",
  "functional": "PBE-GGA",
  "state": "optimized geometry",
  "lattice_angstrom": [[5.5126, 0.0000, 0.0000], [2.7563, 4.7741, 0.0000], [2.7563, 1.5914, 4.5010]],
  "species": ["Sr", "Mg", "Ag", "Sm"],
  "frac_coords": [[0.5000, 0.5000, 0.5000], [0.7500, 0.7500, 0.7500], [0.2500, 0.2500, 0.2500], [0.0000, 0.0000, 0.0000]],
  "n_ef_per_ev_atom": 0.7971,
  "sg": "F-43m, No. 216",
  "final_energy_ev_per_atom": -2.80
}

---

{
  "formula": "ZrMn2Cd",
  "functional": "PBE-GGA",
  "state": "optimized geometry",
  "lattice_angstrom": [[4.3245, 0.0000, 0.0000], [0.0000, 4.3214, 0.0000], [0.0000, 0.0000, 3.5439]],
  "species": ["Cd", "Mn", "Mn", "Zr"],
  "frac_coords": [[0.0000, 0.5000, 0.5000], [0.0000, 0.0000, 0.0000], [0.5000, 0.5000, 0.0000], [0.5000, 0.0000, 0.5000]],
  "n_ef_per_ev_atom": 0.7491,
  "sg": "P4/mmm, No. 123",
  "final_energy_ev_per_atom": -6.79
}

---

{
  "formula": "Nd4TmSc3",
  "functional": "PBE-GGA",
  "state": "optimized geometry",
  "lattice_angstrom": [[-3.1783, -2.0354, 4.7509], [-2.0233, -5.8011, -3.8389], [8.9351, -5.5098, 3.6169]],
  "species": ["Nd", "Nd", "Nd", "Nd", "Nd", "Nd", "Nd", "Nd", "Tm", "Tm", "Sc", "Sc", "Sc", "Sc", "Sc", "Sc"],
  "frac_coords": [[0.0079, 0.6375, 0.0000], [0.4814, 0.3591, 0.0000], [0.1378, 0.3625, 0.2597], [0.6378, 0.6375, 0.2403], [0.9814, 0.6409, 0.5000], [0.5079, 0.3625, 0.5000], [0.6378, 0.6375, 0.7597], [0.1378, 0.3625, 0.7403], [0.9748, 0.1149, 0.0000], [0.4748, 0.8851, 0.5000], [0.4812, 0.8963, 0.0000], [0.1472, 0.8920, 0.2502], [0.6472, 0.1080, 0.2498], [0.9812, 0.1037, 0.5000], [0.6472, 0.1080, 0.7502], [0.1472, 0.8920, 0.7498]],
  "e_above_lowest_polymorph_mev_per_atom": 0.0,
  "n_ef_per_ev_atom": 1.8351,
  "sg": "Pmn2_1, No. 31",
  "final_energy_ev_per_atom": -5.26
}

---

{
  "formula": "Ba2La2Si",
  "functional": "PBE-GGA",
  "state": "optimized geometry",
  "lattice_angstrom": [[8.1155, 0.0000, 0.0000], [0.0000, 8.1155, 0.0000], [0.0000, 0.0000, 6.2163]],
  "species": ["Si", "Si", "Ba", "Ba", "Ba", "Ba", "La", "La", "La", "La"],
  "frac_coords": [[0.0000, 0.0000, 0.0000], [0.5000, 0.5000, 0.0000], [0.1736, 0.6736, 0.5000], [0.6736, 0.8264, 0.5000], [0.8264, 0.3264, 0.5000], [0.3264, 0.1736, 0.5000], [0.3501, 0.8501, 0.0000], [0.8501, 0.6499, 0.0000], [0.6499, 0.1499, 0.0000], [0.1499, 0.3501, 0.0000]],
  "formation_energy_uncorrected_mev_per_atom": 60,
  "n_ef_per_ev_atom": 1.0981,
  "sg": "P4/mbm, No. 127",
  "final_energy_ev_per_atom": -3.76
}

---

{
  "formula": "Nd3Th5Bi8",
  "functional": "PBE-GGA",
  "state": "optimized geometry",
  "lattice_angstrom": [[-2.8790, -4.4514, 7.5241], [-4.2683, -8.1148, -0.8045], [4.2329, -7.7126, 2.6864]],
  "species": ["Nd", "Nd", "Nd", "Th", "Th", "Th", "Th", "Th", "Bi", "Bi", "Bi", "Bi", "Bi", "Bi", "Bi", "Bi"],
  "frac_coords": [[0.5000, 0.0000, 0.5000], [0.0000, 0.0000, 0.5000], [0.0000, 0.5000, 0.5000], [0.5000, 0.0000, 0.0000], [0.5000, 0.5000, 0.0000], [0.0000, 0.0000, 0.0000], [0.0000, 0.5000, 0.0000], [0.5000, 0.5000, 0.5000], [0.2500, 0.2500, 0.7498], [0.2500, 0.7501, 0.7498], [0.7501, 0.2500, 0.7498], [0.7498, 0.7498, 0.7506], [0.7500, 0.7500, 0.2502], [0.7500, 0.2499, 0.2502], [0.2499, 0.7500, 0.2502], [0.2502, 0.2502, 0.2494]],
  "n_ef_per_ev_atom": 0.6445,
  "sg": "R-3m, No. 166",
  "final_energy_ev_per_atom": -5.87
}

---

{
  "formula": "AcLa2Ce3As6",
  "functional": "PBE-GGA",
  "state": "optimized geometry",
  "lattice_angstrom": [[-1.1170, -6.7802, -2.9829], [6.2914, 1.4262, 3.8081], [-4.8675, -0.3288, 5.7074]],
  "species": ["Ac", "La", "La", "Ce", "Ce", "Ce", "As", "As", "As", "As", "As", "As"],
  "frac_coords": [[0.0000, 0.0000, 0.0000], [0.3330, 0.6670, 0.0000], [0.6670, 0.3330, 0.0000], [0.1657, 0.8343, 0.5000], [0.8343, 0.1657, 0.5000], [0.5000, 0.5000, 0.5000], [0.9119, 0.5729, 0.7358], [0.7487, 0.7487, 0.2635], [0.0881, 0.4271, 0.2642], [0.5729, 0.9119, 0.7358], [0.2513, 0.2513, 0.7365], [0.4271, 0.0881, 0.2642]],
  "n_ef_per_ev_atom": 1.4262,
  "sg": "C2/m, No. 12",
  "final_energy_ev_per_atom": -6.45
}

---

{
  "formula": "DyYIn",
  "functional": "PBE-GGA",
  "state": "optimized geometry",
  "lattice_angstrom": [[4.5333, 0.0000, 0.0000], [0.0000, 3.4184, 0.0000], [0.0000, 0.0000, 11.2805]],
  "species": ["In", "In", "Dy", "Dy", "Y", "Y"],
  "frac_coords": [[0.0000, 0.0000, 0.0000], [0.5000, 0.0000, 0.5000], [0.0000, 0.5000, 0.3613], [0.0000, 0.5000, 0.6387], [0.5000, 0.5000, 0.1409], [0.5000, 0.5000, 0.8591]],
  "e_above_lowest_polymorph_mev_per_atom": 214.4,
  "n_ef_per_ev_atom": 1.0893,
  "sg": "Pmmm, No. 47",
  "final_energy_ev_per_atom": -4.71
}

---

{
  "formula": "CeThPt2",
  "functional": "PBE-GGA",
  "state": "optimized geometry",
  "lattice_angstrom": [[-0.0021, -3.5808, 0.4652], [4.7987, -0.2194, -1.6673], [1.6816, 0.6172, 4.7588]],
  "species": ["Ce", "Pt", "Pt", "Th"],
  "frac_coords": [[0.5000, 0.0000, 0.0000], [0.0000, 0.0000, 0.5000], [0.0000, 0.5000, 0.0000], [0.5000, 0.5000, 0.5000]],
  "e_above_lowest_polymorph_mev_per_atom": 177.9,
  "n_ef_per_ev_atom": 1.9275,
  "sg": "P4/mmm, No. 123",
  "final_energy_ev_per_atom": -7.35
}

---

Copy entry 3 word for word.
{
  "formula": "Nd4TmSc3",
  "functional": "PBE-GGA",
  "state": "optimized geometry",
  "lattice_angstrom": [[-3.1783, -2.0354, 4.7509], [-2.0233, -5.8011, -3.8389], [8.9351, -5.5098, 3.6169]],
  "species": ["Nd", "Nd", "Nd", "Nd", "Nd", "Nd", "Nd", "Nd", "Tm", "Tm", "Sc", "Sc", "Sc", "Sc", "Sc", "Sc"],
  "frac_coords": [[0.0079, 0.6375, 0.0000], [0.4814, 0.3591, 0.0000], [0.1378, 0.3625, 0.2597], [0.6378, 0.6375, 0.2403], [0.9814, 0.6409, 0.5000], [0.5079, 0.3625, 0.5000], [0.6378, 0.6375, 0.7597], [0.1378, 0.3625, 0.7403], [0.9748, 0.1149, 0.0000], [0.4748, 0.8851, 0.5000], [0.4812, 0.8963, 0.0000], [0.1472, 0.8920, 0.2502], [0.6472, 0.1080, 0.2498], [0.9812, 0.1037, 0.5000], [0.6472, 0.1080, 0.7502], [0.1472, 0.8920, 0.7498]],
  "e_above_lowest_polymorph_mev_per_atom": 0.0,
  "n_ef_per_ev_atom": 1.8351,
  "sg": "Pmn2_1, No. 31",
  "final_energy_ev_per_atom": -5.26
}